Density functional theory data (PBE) for a relaxed CaMg6Ga6 crystal.

Structure (extended XYZ):
```
13
Lattice="-3.181 -2.118 -3.909 -3.327 -6.325 2.311 -7.043 2.557 0.523" Properties=species:S:1:pos:R:3 pbc="T T T"
Ga -1.664 -3.162 1.156
Ga -5.736 -5.427 -0.037
Ga -7.815 -0.457 -1.038
Ga -3.521 1.279 0.262
Ga -5.112 0.220 -1.693
Ga -3.254 -4.221 -0.799
Mg -4.629 -3.214 1.685
Mg -7.836 -3.186 0.457
Mg -5.715 -2.699 -1.532
Mg -5.741 -0.553 1.149
Mg -3.041 -1.392 -0.594
Mg -10.510 -4.493 -0.481
Ca 0.000 0.000 0.000
```

The total moment comes out at 0.00 μB/atom. Its formation energy is -188 meV/atom. The calculation puts the electronic total energy at -2.48 eV/atom. The value obtained for the density of states at the Fermi level is 3.37 states/eV/cell.

Density functional theory data (PBE) for a relaxed DyCu6Ni2 crystal.

Structure (extended XYZ):
```
9
Lattice="4.405 0.000 0.000 2.203 6.033 1.658 2.203 2.817 5.587" Properties=species:S:1:pos:R:3 pbc="T T T"
Ni 2.203 3.470 2.841
Ni 6.608 5.381 4.405
Cu 4.405 7.029 4.149
Cu 4.405 1.821 3.097
Cu 4.405 3.720 4.484
Cu 4.405 5.130 2.762
Cu 4.405 5.454 6.072
Cu 4.405 3.396 1.174
Dy 0.000 0.000 0.000
```

The total moment comes out at 0.00 μB/atom. Its formation energy is 93 meV/atom. The calculation puts the electronic total energy at -4.43 eV/atom. The value obtained for the density of states at the Fermi level is 4.93 states/eV/cell.

Density functional theory data (PBE) for a relaxed Ca2Si4PtRh3 crystal.

Structure (extended XYZ):
```
10
Lattice="4.100 0.000 0.000 0.000 4.100 0.000 0.000 0.000 10.135" Properties=species:S:1:pos:R:3 pbc="T T T"
Si 0.000 0.000 0.000
Si 0.000 2.050 3.714
Si 2.050 0.000 6.421
Si 2.050 2.050 0.000
Ca 2.050 0.000 2.476
Ca 0.000 2.050 7.659
Pt 2.050 2.050 5.068
Rh 2.050 0.000 8.850
Rh 0.000 0.000 5.068
Rh 0.000 2.050 1.285
```

The total moment comes out at 0.00 μB/atom. As for the formation energy (no corrections): -9.0 eV/f.u. The calculation puts the electronic total energy at -6.28 eV/atom. The value obtained for the density of states at the Fermi level is 4.69 states/eV/cell.

Density functional theory data (PBE) for a relaxed TbTmO4 crystal.

Structure (extended XYZ):
```
6
Lattice="3.717 0.000 0.000 -1.858 3.380 -0.360 0.000 -0.005 6.179" Properties=species:S:1:pos:R:3 pbc="T T T"
O 1.858 1.056 4.821
O 0.000 0.694 2.399
O 0.000 2.686 0.394
O 1.858 2.318 4.020
Tm 0.000 2.920 2.647
Tb 0.000 0.451 0.087
```

The total moment comes out at 0.00 μB/atom. As for the formation energy (no corrections): -18.0 eV/f.u. The calculation puts the electronic total energy at -7.82 eV/atom. The value obtained for the density of states at the Fermi level is 0.00 states/eV/cell.

Density functional theory data (PBE) for a relaxed TmMg2Ti crystal.

Structure (extended XYZ):
```
4
Lattice="3.516 0.000 0.000 0.000 3.516 0.000 0.000 0.000 7.280" Properties=species:S:1:pos:R:3 pbc="T T T"
Ti 1.758 1.758 0.000
Mg 0.000 0.000 1.593
Mg 0.000 0.000 5.687
Tm 1.758 1.758 3.640
```

The total moment comes out at 0.00 μB/atom. Its formation energy is 133 meV/atom. The calculation puts the electronic total energy at -3.76 eV/atom. The value obtained for the density of states at the Fermi level is 4.42 states/eV/cell.

Density functional theory data (PBE) for a relaxed MgCo2Pb crystal.

Structure (extended XYZ):
```
8
Lattice="7.146 0.000 0.000 0.000 7.146 0.000 3.573 3.573 2.752" Properties=species:S:1:pos:R:3 pbc="T T T"
Co 1.806 5.359 0.688
Co 5.359 5.379 2.064
Co 5.340 1.786 0.688
Co 8.932 8.912 2.064
Pb 7.146 3.573 1.376
Pb 0.000 0.000 0.000
Mg 3.573 3.573 0.000
Mg 3.573 7.146 1.376
```

The total moment comes out at 0.57 μB/atom. Its formation energy is 686 meV/atom. The calculation puts the electronic total energy at -4.19 eV/atom. The value obtained for the density of states at the Fermi level is 13.59 states/eV/cell.

Density functional theory data (PBE) for a relaxed HAu3F crystal.

Structure (extended XYZ):
```
5
Lattice="4.129 0.000 0.000 0.000 4.129 0.000 0.000 0.000 4.129" Properties=species:S:1:pos:R:3 pbc="T T T"
Au 0.000 2.065 0.000
Au 2.065 0.000 0.000
Au 0.000 0.000 2.065
F 2.065 2.065 2.065
H 0.000 0.000 0.000
```

The total moment comes out at 0.00 μB/atom. The calculation puts the electronic total energy at -3.01 eV/atom. The value obtained for the density of states at the Fermi level is 1.21 states/eV/cell.

Density functional theory data (PBE) for a relaxed Y3PbO crystal.

Structure (extended XYZ):
```
10
Lattice="-0.714 5.103 1.761 1.361 -3.928 3.516 8.933 1.764 -1.487" Properties=species:S:1:pos:R:3 pbc="T T T"
Pb 7.369 0.405 1.816
Pb 2.211 2.533 1.974
O 4.467 0.882 -0.744
O 0.000 0.000 0.000
Y 2.233 0.441 -0.372
Y 4.356 -0.190 2.317
Y 5.224 3.128 1.473
Y 8.131 3.702 0.989
Y 1.450 -0.764 2.801
Y 6.700 1.323 -1.116
```

The total moment comes out at 0.00 μB/atom. As for the formation energy (no corrections): -4.7 eV/f.u. The calculation puts the electronic total energy at -6.55 eV/atom. The value obtained for the density of states at the Fermi level is 6.31 states/eV/cell.

Density functional theory data (PBE) for a relaxed Na2MnGeS crystal.

Structure (extended XYZ):
```
5
Lattice="-4.247 -1.167 2.713 0.691 -4.420 -0.818 2.846 -0.352 4.305" Properties=species:S:1:pos:R:3 pbc="T T T"
Na -2.124 -0.583 1.356
Na 1.423 -0.176 2.152
Mn 0.346 -2.210 -0.409
S 0.000 0.000 0.000
Ge -0.355 -2.969 3.099
```

The total moment comes out at 0.73 μB/atom. As for the formation energy (no corrections): -0.1 eV/f.u. The calculation puts the electronic total energy at -4.13 eV/atom. The value obtained for the density of states at the Fermi level is 2.79 states/eV/cell.

Density functional theory data (PBE) for a relaxed IrRu2Rh crystal.

Structure (extended XYZ):
```
8
Lattice="5.502 0.000 0.000 0.000 5.502 0.000 2.751 2.751 5.525" Properties=species:S:1:pos:R:3 pbc="T T T"
Ru 4.135 1.376 1.381
Ru 1.367 4.127 1.381
Ru 4.127 4.118 4.144
Ru 6.878 6.886 4.144
Rh 2.751 5.502 2.762
Rh 2.751 2.751 0.000
Ir 5.502 2.751 2.762
Ir 0.000 0.000 0.000
```

The total moment comes out at 0.00 μB/atom. Its formation energy is 1059 meV/atom. The calculation puts the electronic total energy at -7.63 eV/atom. The value obtained for the density of states at the Fermi level is 4.85 states/eV/cell.

Density functional theory data (PBE) for a relaxed Ba2ErPbSe5 crystal.

Structure (extended XYZ):
```
18
Lattice="4.394 0.000 0.000 -2.197 9.358 0.000 0.000 0.000 13.642" Properties=species:S:1:pos:R:3 pbc="T T T"
Se 0.000 5.347 8.899
Se 0.000 5.933 5.140
Se 0.000 1.060 1.042
Se 2.197 3.425 11.961
Se 2.197 0.212 3.516
Se 2.197 2.628 6.806
Se 0.000 9.146 10.337
Se 0.000 6.731 13.627
Se 2.197 8.298 7.863
Se 2.197 4.011 2.078
Ba 2.197 7.219 2.508
Ba 0.000 2.140 9.329
Ba 0.000 2.648 4.218
Ba 2.197 6.710 11.039
Pb 2.197 0.634 12.984
Pb 0.000 8.725 6.163
Er 0.000 3.949 0.234
Er 2.197 5.409 7.055
```

The total moment comes out at 0.00 μB/atom. As for the formation energy (no corrections): -13.6 eV/f.u. The calculation puts the electronic total energy at -4.80 eV/atom. The value obtained for the density of states at the Fermi level is 6.10 states/eV/cell.

Density functional theory data (PBE) for a relaxed Ni3W crystal.

Structure (extended XYZ):
```
4
Lattice="-1.651 -1.126 -3.053 2.894 -2.075 -0.799 -1.489 -2.783 1.832" Properties=species:S:1:pos:R:3 pbc="T T T"
Ni -1.570 -1.955 -0.611
Ni 0.702 -2.429 0.516
Ni 0.000 0.000 0.000
W 0.622 -1.600 -1.926
```

The total moment comes out at 0.45 μB/atom. Its formation energy is 119 meV/atom. The calculation puts the electronic total energy at -7.45 eV/atom. The value obtained for the density of states at the Fermi level is 5.29 states/eV/cell.

Q: Look up the total moment of the fifth one.
A: 0.00 μB/atom

Q: Among the records above, which one has the highest electronic total energy?
A: CaMg6Ga6

Q: Which formula does entry 12 have?
A: Ni3W

Q: Look up the electronic total energy of the ninth one.
A: -4.13 eV/atom